Cd2NiMo: optimized geometry, PBE.

Results
Mass density, g/cm3: 9.3
Energy relative to the elements, eV per atom: 0.500
Excess energy over the best structure of this formula in the dataset, kJ/mol of atoms: 35.42
Size of the total moment, μB/cell: 6.81
Calculated total energy, eV per atom: -4.11

Cell: 6.4677 6.4677 6.4677 Å, 90.00 90.00 90.00°
Closest atoms and distances in Å follow each position.
Element x y z (fractional)
Cd 0.0000 0.0000 0.0000  4 Cd 2.80, 4 Mo 2.80
Cd 0.0000 0.5000 0.5000  4 Mo 2.80, 4 Cd 2.80
Cd 0.2500 0.2500 0.2500  4 Cd 2.80, 4 Ni 2.80
Cd 0.2500 0.7500 0.7500  4 Cd 2.80, 4 Ni 2.80
Cd 0.5000 0.0000 0.5000  4 Mo 2.80, 4 Cd 2.80
Cd 0.5000 0.5000 0.0000  4 Mo 2.80, 4 Cd 2.80
Cd 0.7500 0.2500 0.7500  4 Cd 2.80, 4 Ni 2.80
Cd 0.7500 0.7500 0.2500  4 Cd 2.80, 4 Ni 2.80
Ni 0.0000 0.0000 0.5000  4 Cd 2.80, 4 Mo 2.80
Ni 0.0000 0.5000 0.0000  4 Cd 2.80, 4 Mo 2.80
Ni 0.5000 0.0000 0.0000  4 Cd 2.80, 4 Mo 2.80
Ni 0.5000 0.5000 0.5000  4 Cd 2.80, 4 Mo 2.80
Mo 0.2500 0.2500 0.7500  4 Cd 2.80, 4 Ni 2.80
Mo 0.2500 0.7500 0.2500  4 Cd 2.80, 4 Ni 2.80
Mo 0.7500 0.2500 0.2500  4 Cd 2.80, 4 Ni 2.80
Mo 0.7500 0.7500 0.7500  4 Cd 2.80, 4 Ni 2.80